Entry 1:
## TlIn2SbPb (GGA-PBE)

Data for an optimized crystal structure of TlIn2SbPb.

Cell: 5.6042 5.6042 6.0345 Å, 90.00 90.00 90.00°
Space group P4/mmm (No. 123)
Asymmetric unit:
Tl (0.0000, 0.0000, 0.0000)
In (0.0000, 0.5000, 0.5000)
Sb (0.0000, 0.0000, 0.5000)
Pb (0.5000, 0.5000, 0.0000)

Crystal system: tetragonal
Energy relative to the elements, uncorrected, eV/atom: 0.485

Entry 2:
## ScInPb (GGA-PBE)

Data for an optimized crystal structure of ScInPb.

Cell: 4.2942 4.2942 8.2576 Å, 90.00 90.00 90.00°
Space group P4/nmm (No. 129, origin choice 2)
Asymmetric unit:
Sc (0.2500, 0.2500, 0.1942)
In (0.2500, 0.7500, 0.5000)
Pb (0.2500, 0.2500, 0.8282)

Relative energy among the computed polymorphs, meV per atom: 103
Crystal system: tetragonal
E_form, eV per formula unit: -0.5

Entry 3:
## ScIn2Pb (GGA-PBE)

Data for an optimized crystal structure of ScIn2Pb.

Cell: 3.4641 3.4641 30.6774 Å, 90.00 90.00 120.00°
Space group R-3m (No. 166, hexagonal axes)
Asymmetric unit:
Sc (0.0000, 0.0000, 0.0000)
In (0.0000, 0.0000, 0.2550)
Pb (0.0000, 0.0000, 0.5000)

Crystal system: trigonal
E_form, eV per formula unit: -0.3

Entry 4:
## ScIn2Pb (GGA-PBE)

Data for an optimized crystal structure of ScIn2Pb.

Cell: 11.6586 3.5020 5.4673 Å, 90.00 114.44 90.00°
Space group Cm (No. 8)
Asymmetric unit:
Sc (0.0000, 0.0000, 0.0000)
In (0.2361, 0.5000, 0.4045)
In (0.4884, 0.0000, 0.5175)
Pb (0.2543, 0.0000, 0.9196)

Crystal system: monoclinic
E_form, eV per formula unit: -0.7

Entry 5:
## ScInPb2 (GGA-PBE)

Data for an optimized crystal structure of ScInPb2.

Cell: 3.5372 3.5372 30.5556 Å, 90.00 90.00 120.00°
Space group R3m (No. 160, hexagonal axes)
Asymmetric unit:
Sc (0.0000, 0.0000, 0.0000)
In (0.0000, 0.0000, 0.2557)
Pb (0.0000, 0.0000, 0.5028)
Pb (0.0000, 0.0000, 0.7456)

Crystal system: trigonal
E_form, eV per formula unit: -0.2

Entry 6:
## Sc2InPb2 (GGA-PBE)

Data for an optimized crystal structure of Sc2InPb2.

Cell: 8.1255 8.1255 3.9216 Å, 90.00 90.00 90.00°
Space group P4/mbm (No. 127)
Asymmetric unit:
Sc (0.1379, 0.3621, 0.0000)
In (0.0000, 0.0000, 0.0000)
Pb (0.1679, 0.6679, 0.5000)

Relative energy among the computed polymorphs, meV per atom: 2
Crystal system: tetragonal
E_form, eV per formula unit: -1.0

Entry 7:
## ScInPb2 (GGA-PBE)

Data for an optimized crystal structure of ScInPb2.

Cell: 7.6364 7.6364 7.6364 Å, 90.00 90.00 90.00°
Space group F-43m (No. 216)
Asymmetric unit:
Sc (0.0000, 0.0000, 0.0000)
In (0.2500, 0.2500, 0.7500)
Pb (0.0000, 0.0000, 0.5000)
Pb (0.2500, 0.2500, 0.2500)

Crystal system: cubic
E_form, eV per formula unit: 0.0

Entry 8:
## ScInPb3 (GGA-PBE)

Data for an optimized crystal structure of ScInPb3.

Cell: 5.6786 5.6786 5.6786 Å, 90.00 90.00 90.00°
Space group Pm-3m (No. 221)
Asymmetric unit:
Sc (0.0000, 0.0000, 0.0000)
In (0.5000, 0.5000, 0.5000)
Pb (0.0000, 0.5000, 0.5000)

Relative energy among the computed polymorphs, meV per atom: 397
Crystal system: cubic
E_form, eV per formula unit: 3.2

Entry 9:
## Sc3InPb3 (GGA-PBE)

Data for an optimized crystal structure of Sc3InPb3.

Cell: 8.5649 8.5649 5.6114 Å, 90.00 90.00 120.00°
Space group P6_3/m (No. 176)
Asymmetric unit:
Sc (0.0963, 0.6374, 0.2500)
In (0.3333, 0.6667, 0.7500)
Pb (0.0540, 0.7916, 0.7500)

Crystal system: hexagonal
E_form, eV per formula unit: -1.4

Entry 10:
## Sc2InPb2 (GGA-PBE)

Data for an optimized crystal structure of Sc2InPb2.

Cell: 8.8165 8.8165 3.3607 Å, 90.00 90.00 90.00°
Space group P4/mbm (No. 127)
Asymmetric unit:
Sc (0.1378, 0.3622, 0.0000)
In (0.0000, 0.0000, 0.5000)
Pb (0.1597, 0.6597, 0.5000)

Relative energy among the computed polymorphs, meV per atom: 8
Crystal system: tetragonal
E_form, eV per formula unit: -1.0

Entry 11:
## ScInPb2 (GGA-PBE)

Data for an optimized crystal structure of ScInPb2.

Cell: 3.5673 4.6182 6.5166 Å, 90.00 90.00 90.00°
Space group Pmm2 (No. 25)
Asymmetric unit:
Sc (0.0000, 0.0000, 0.0000)
In (0.5000, 0.5000, 0.2446)
Pb (0.0000, 0.0000, 0.4894)
Pb (0.5000, 0.5000, 0.7796)

Crystal system: orthorhombic
E_form, eV per formula unit: -0.5

Entry 12:
## ScInPb (GGA-PBE)

Data for an optimized crystal structure of ScInPb.

Cell: 5.1225 5.1225 3.3942 Å, 90.00 90.00 120.00°
Space group P3m1 (No. 156)
Asymmetric unit:
Sc (0.0000, 0.0000, 0.0000)
In (0.6667, 0.3333, 0.3547)
Pb (0.3333, 0.6667, 0.6300)

Relative energy among the computed polymorphs, meV per atom: 165
Crystal system: trigonal
E_form, eV per formula unit: -0.3

Entry 13:
## ScInPb2 (GGA-PBE)

Data for an optimized crystal structure of ScInPb2.

Cell: 4.7433 4.7433 18.1188 Å, 90.00 90.00 120.00°
Space group R3m (No. 160, hexagonal axes)
Asymmetric unit:
Sc (0.0000, 0.0000, 0.0000)
In (0.0000, 0.0000, 0.1740)
Pb (0.0000, 0.0000, 0.4100)
Pb (0.0000, 0.0000, 0.5978)

Crystal system: trigonal
E_form, eV per formula unit: -0.1

Entry 14:
## ScInPb2 (GGA-PBE)

Data for an optimized crystal structure of ScInPb2.

Cell: 5.6045 3.4591 5.7991 Å, 90.00 107.44 90.00°
Space group P2/m (No. 10)
Asymmetric unit:
Sc (0.0000, 0.0000, 0.0000)
In (0.0000, 0.5000, 0.5000)
Pb (0.5000, 0.0000, 0.5000)
Pb (0.5000, 0.5000, 0.0000)

Crystal system: monoclinic
E_form, eV per formula unit: -0.5

Entry 15:
## ScIn2Pb (GGA-PBE)

Data for an optimized crystal structure of ScIn2Pb.

Cell: 8.4659 8.4659 6.0834 Å, 90.00 90.00 90.00°
Space group I-42d (No. 122)
Asymmetric unit:
Sc (0.0000, 0.0000, 0.0000)
In (0.2494, 0.2500, 0.1250)
Pb (0.0000, 0.0000, 0.5000)

Crystal system: tetragonal
E_form, eV per formula unit: 0.0

Entry 16:
## ScInPb (GGA-PBE)

Data for an optimized crystal structure of ScInPb.

Cell: 7.1107 7.1107 7.1107 Å, 90.00 90.00 90.00°
Space group F-43m (No. 216)
Asymmetric unit:
Sc (0.0000, 0.0000, 0.0000)
In (0.0000, 0.0000, 0.5000)
Pb (0.2500, 0.2500, 0.2500)

Relative energy among the computed polymorphs, meV per atom: 421
Crystal system: cubic
E_form, eV per formula unit: 0.4

Entry 17:
## Sc5In4Pb (GGA-PBE)

Data for an optimized crystal structure of Sc5In4Pb.

Cell: 3.2425 3.2425 21.8420 Å, 90.00 90.00 90.00°
Space group P4/mmm (No. 123)
Asymmetric unit:
Sc (0.0000, 0.0000, 0.0000)
Sc (0.0000, 0.0000, 0.1974)
Sc (0.0000, 0.0000, 0.3955)
In (0.5000, 0.5000, 0.0990)
In (0.5000, 0.5000, 0.2973)
Pb (0.5000, 0.5000, 0.5000)

Crystal system: tetragonal
E_form, eV per formula unit: -4.0

Entry 18:
## ScInPb (GGA-PBE)

Data for an optimized crystal structure of ScInPb.

Cell: 3.6046 3.6046 11.8264 Å, 90.00 90.00 90.00°
Space group I4mm (No. 107)
Asymmetric unit:
Sc (0.0000, 0.0000, 0.0000)
In (0.0000, 0.0000, 0.6466)
Pb (0.0000, 0.0000, 0.3308)

Relative energy among the computed polymorphs, meV per atom: 141
Crystal system: tetragonal
E_form, eV per formula unit: -0.4

Entry 19:
## Sc12In3Pb (GGA-PBE)

Data for an optimized crystal structure of Sc12In3Pb.

Cell: 4.5314 4.5314 18.1014 Å, 90.00 90.00 90.00°
Space group P4/mmm (No. 123)
Asymmetric unit:
Sc (0.0000, 0.0000, 0.0000)
Sc (0.0000, 0.0000, 0.2493)
Sc (0.0000, 0.0000, 0.5000)
Sc (0.0000, 0.5000, 0.1247)
Sc (0.0000, 0.5000, 0.3731)
In (0.5000, 0.5000, 0.0000)
In (0.5000, 0.5000, 0.2488)
Pb (0.5000, 0.5000, 0.5000)

Crystal system: tetragonal
E_form, eV per formula unit: -4.6

Entry 20:
## ScInPb2 (GGA-PBE)

Data for an optimized crystal structure of ScInPb2.

Cell: 8.3737 8.3737 6.4366 Å, 90.00 90.00 90.00°
Space group I-42d (No. 122)
Asymmetric unit:
Sc (0.0000, 0.0000, 0.0000)
In (0.0000, 0.0000, 0.5000)
Pb (0.2433, 0.2500, 0.6250)

Crystal system: tetragonal
E_form, eV per formula unit: 0.2